*A*
VASP calculation (GGA-PBE) on a relaxed NbTl2Sb crystal.

```
NbTl2Sb
1.0
3.137 1.044 4.102
-1.776 2.945 3.991
-0.962 -2.214 4.683
Nb Sb Tl
1 1 2
direct
0.000 0.000 0.000 Nb
0.500 0.500 0.500 Sb
0.250 0.250 0.250 Tl
0.750 0.750 0.750 Tl
```

Computed properties:
The density is 10.01 g cm⁻³. The calculation puts the spin magnetization at 3.23 μB per cell. As for the space group: Fm-3m. The volume comes out at 25.854 A^3/atom.

---

*B*
VASP calculation (GGA-PBE) on a relaxed NbTl2Sb crystal.

```
NbTl2Sb
1.0
-9.587 -1.574 -5.198
-1.093 -9.771 4.975
-6.631 -4.497 1.914
Sb Nb Tl
2 2 4
direct
0.000 0.000 0.000 Sb
0.750 0.250 0.500 Sb
0.500 0.500 0.000 Nb
0.250 0.750 0.500 Nb
0.875 0.626 0.750 Tl
0.375 0.624 0.750 Tl
0.374 0.625 0.250 Tl
0.376 0.125 0.250 Tl
```

Computed properties:
The density is 6.38 g cm⁻³. The calculation puts the spin magnetization at 0.00 μB per cell. As for the space group: I-42d. The volume comes out at 40.592 A^3/atom.

---

Which of them is most stable? Easy: *B*.

---

*A*
VASP calculation (GGA-PBE) on a relaxed UNbSb2 crystal.

```
UNbSb2
1.0
3.498 0.000 0.000
0.000 3.498 0.000
0.000 0.000 7.467
Sb U Nb
2 1 1
direct
0.000 0.000 0.781 Sb
0.000 0.000 0.219 Sb
0.500 0.500 0.500 U
0.500 0.500 0.000 Nb
```

Computed properties:
The density is 10.44 g cm⁻³. The calculation puts the spin magnetization at 3.14 μB per cell. As for the space group: P4/mmm. The volume comes out at 22.842 A^3/atom.

---

*B*
VASP calculation (GGA-PBE) on a relaxed UNbSb2 crystal.

```
UNbSb2
1.0
-1.928 2.112 -1.253
-3.076 -0.203 0.499
-0.617 6.954 8.780
Sb U Nb
2 1 1
direct
0.086 0.086 0.741 Sb
0.914 0.914 0.259 Sb
0.500 0.500 0.500 U
0.000 0.000 0.000 Nb
```

Computed properties:
The density is 10.20 g cm⁻³. The calculation puts the spin magnetization at 1.51 μB per cell. As for the space group: R-3m. The volume comes out at 23.371 A^3/atom.

---

Which of them is most stable? Easy: *A*.

---

*A*
VASP calculation (GGA-PBE) on a relaxed NbV2Sb2 crystal.

```
NbV2Sb2
1.0
4.976 0.000 0.000
0.000 4.976 0.000
2.488 2.488 3.913
Nb V Sb
1 2 2
direct
0.000 0.000 0.000 Nb
0.623 0.623 0.754 V
0.377 0.377 0.246 V
0.750 0.250 0.500 Sb
0.250 0.750 0.500 Sb
```

Computed properties:
The density is 7.51 g cm⁻³. The calculation puts the spin magnetization at 0.01 μB per cell. As for the space group: I4/mmm. The volume comes out at 19.380 A^3/atom.

---

*B*
VASP calculation (GGA-PBE) on a relaxed NbV2Sb2 crystal.

```
NbV2Sb2
1.0
7.147 0.000 0.000
0.000 7.147 0.000
0.000 0.000 3.592
Sb V Nb
4 4 2
direct
0.828 0.328 0.500 Sb
0.328 0.172 0.500 Sb
0.172 0.672 0.500 Sb
0.672 0.828 0.500 Sb
0.373 0.873 0.000 V
0.873 0.627 0.000 V
0.627 0.127 0.000 V
0.127 0.373 0.000 V
0.000 0.000 0.000 Nb
0.500 0.500 0.000 Nb
```

Computed properties:
The density is 7.93 g cm⁻³. The calculation puts the spin magnetization at 0.00 μB per cell. As for the space group: P4/mbm. The volume comes out at 18.352 A^3/atom.

---

Which of them is most stable? Easy: *B*.